(1)
Computed, not measured: crystalline Tb2Pr3Y6Ho at its relaxed geometry at the GGA-PBE level of DFT. Values from VASP.

Cell and atoms, written as Quantum ESPRESSO input:
```
&SYSTEM
  ibrav = 0, nat = 12, ntyp = 4
/
ATOMIC_SPECIES
Y 88.91 Y.upf
Pr 140.91 Pr.upf
Tb 158.93 Tb.upf
Ho 164.93 Ho.upf
CELL_PARAMETERS angstrom
6.246 0.001 0.004
-3.121 5.410 0.004
-1.046 -1.810 11.696
ATOMIC_POSITIONS crystal
Y 0.082 0.415 0.246
Y 0.749 0.749 0.246
Y 0.585 0.918 0.754
Y 0.415 0.082 0.246
Y 0.918 0.585 0.754
Y 0.251 0.251 0.754
Pr 0.833 0.167 0.500
Pr 0.500 0.500 0.500
Pr 0.167 0.833 0.500
Tb 0.333 0.667 0.000
Tb 0.667 0.333 0.000
Ho 0.000 0.000 0.000
```

Results
**ΔH_f (0 K)**: 0.017 eV per atom
**N(E_F)**: 16.4 states/eV per cell
**Total energy**: -5.56 eV per atom
**SG**: C2/m

(2)
Computed, not measured: crystalline PaTiTcMo at its relaxed geometry at the GGA-PBE level of DFT. Values from VASP.

Cell and atoms, written as Quantum ESPRESSO input:
```
&SYSTEM
  ibrav = 0, nat = 4, ntyp = 4
/
ATOMIC_SPECIES
Tc 98.00 Tc.upf
Ti 47.87 Ti.upf
Pa 231.04 Pa.upf
Mo 95.94 Mo.upf
CELL_PARAMETERS angstrom
-4.514 -0.880 -0.660
-2.262 -2.839 2.900
-3.157 1.720 2.944
ATOMIC_POSITIONS crystal
Tc 0.750 0.750 0.750
Ti 0.500 0.500 0.500
Pa 0.000 0.000 0.000
Mo 0.250 0.250 0.250
```

Results
**ΔH_f (0 K)**: -0.225 eV per atom
**N(E_F)**: 3.9 states/eV per cell
**Total energy**: -9.87 eV per atom
**SG**: F-43m

(3)
Computed, not measured: crystalline RbCd2Tc at its relaxed geometry at the GGA-PBE level of DFT. Values from VASP.

Cell and atoms, written as Quantum ESPRESSO input:
```
&SYSTEM
  ibrav = 0, nat = 8, ntyp = 3
/
ATOMIC_SPECIES
Rb 85.47 Rb.upf
Cd 112.41 Cd.upf
Tc 98.00 Tc.upf
CELL_PARAMETERS angstrom
-3.409 -3.834 2.591
4.140 -3.965 -0.420
3.741 -1.260 9.434
ATOMIC_POSITIONS crystal
Rb 0.250 0.750 0.500
Rb 0.500 0.500 0.000
Cd 0.876 0.125 0.250
Cd 0.875 0.126 0.750
Cd 0.375 0.124 0.750
Cd 0.874 0.625 0.250
Tc 0.750 0.250 0.500
Tc 0.000 0.000 0.000
```

Results
**Offset from the most stable computed form**: 0.0 meV per atom
**ΔH_f (0 K)**: 0.865 eV per atom
**N(E_F)**: 4.6 states/eV per cell
**Total energy**: -2.43 eV per atom
**SG**: I4_1/amd

(4)
Computed, not measured: crystalline As5C at its relaxed geometry at the GGA-PBE level of DFT. Values from VASP.

Cell and atoms, written as Quantum ESPRESSO input:
```
&SYSTEM
  ibrav = 0, nat = 6, ntyp = 2
/
ATOMIC_SPECIES
As 74.92 As.upf
C 12.01 C.upf
CELL_PARAMETERS angstrom
-4.947 -4.658 -2.772
-4.502 -5.794 -0.127
-6.855 1.503 1.800
ATOMIC_POSITIONS crystal
As 0.731 0.731 0.733
As 0.650 0.650 0.138
As 0.334 0.334 0.245
As 0.921 0.921 0.628
As 0.979 0.979 0.900
C 0.219 0.219 0.189
```

Results
**Offset from the most stable computed form**: 0.0 meV per atom
**ΔH_f (0 K)**: 0.522 eV per atom
**N(E_F)**: 0.7 states/eV per cell
**Total energy**: -4.89 eV per atom
**SG**: Cm

(5)
Computed, not measured: crystalline Li4Pd3Pb at its relaxed geometry at the GGA-PBE level of DFT. Values from VASP.

Cell and atoms, written as Quantum ESPRESSO input:
```
&SYSTEM
  ibrav = 0, nat = 8, ntyp = 3
/
ATOMIC_SPECIES
Li 6.94 Li.upf
Pd 106.42 Pd.upf
Pb 207.20 Pb.upf
CELL_PARAMETERS angstrom
-1.171 0.390 3.150
3.450 -2.321 1.570
6.851 5.907 -0.001
ATOMIC_POSITIONS crystal
Li 0.756 0.744 0.511
Li 0.379 0.622 0.757
Li 0.244 0.256 0.489
Li 0.621 0.378 0.243
Pd 0.136 0.863 0.273
Pd 0.864 0.137 0.727
Pd 0.000 0.500 0.000
Pb 0.500 0.000 0.000
```

Results
**ΔH_f (0 K)**: -0.335 eV per atom
**N(E_F)**: 1.9 states/eV per cell
**Total energy**: -3.70 eV per atom
**SG**: C2/m

(6)
Computed, not measured: crystalline CrSnP2 at its relaxed geometry at the GGA-PBE level of DFT. Values from VASP.

Cell and atoms, written as Quantum ESPRESSO input:
```
&SYSTEM
  ibrav = 0, nat = 4, ntyp = 3
/
ATOMIC_SPECIES
P 30.97 P.upf
Cr 52.00 Cr.upf
Sn 118.71 Sn.upf
CELL_PARAMETERS angstrom
3.799 0.000 0.000
1.900 3.290 0.000
1.900 1.097 7.724
ATOMIC_POSITIONS crystal
P 0.899 0.899 0.304
P 0.101 0.101 0.696
Cr 0.000 0.000 0.000
Sn 0.500 0.500 0.500
```

Results
**ΔH_f (0 K)**: 0.565 eV per atom
**N(E_F)**: 2.6 states/eV per cell
**Total energy**: -5.55 eV per atom
**SG**: R-3m

Number 5 is which compound? Li4Pd3Pb